## Ba2Ca2Tl2W3O10 (PBE with a Hubbard U)

Data for Ba2Ca2Tl2W3O10 after structural relaxation.

Computed properties:
V = 17.41 A^3/atom
DFT total energy = -6.253 eV/atom
size of the total moment = 6.02 μB per formula unit
calculated density = 7406 kg/m³
space group = No. 8
D(E_F) = 0.08 states/eV per atom

Lattice parameters (Å, degrees): 4.042 4.170 19.834 96.02 95.83 90.09
Positions (direct):
O 0.503 0.913 0.000
O 0.082 0.485 0.159
O 0.584 0.982 0.163
Ca 0.051 0.957 0.097
W 0.413 0.316 0.820
O 0.214 0.393 0.435
Tl 0.275 0.323 0.554
O 0.422 0.820 0.838
O 0.642 0.502 0.279
O 0.363 0.224 0.722
Ba 0.839 0.768 0.678
Ca 0.955 0.861 0.904
O 0.003 0.414 0.000
Ba 0.161 0.091 0.323
W 0.593 0.495 0.181
Tl 0.722 0.769 0.447
W 0.503 0.411 0.000
O 0.924 0.328 0.842
O 0.780 0.958 0.566